1.
Below is a geometry-optimized La3Dy4Ho4 structure, with properties calculated at the PBE level.

- total DFT energy (no corrections) (eV per atom) = -4.52
- size of the total moment (μB per formula unit) = 0.00
- distance to the lowest polymorph of the same formula (kJ/mol of formula units) = 0
- D(E_F) (states/eV/f.u.) = 18.3
- ΔH_f (0 K) (eV/atom) = 0.159

Unit cell a=5.7540 b=6.7176 c=10.6347 alpha=90.00 beta=90.00 gamma=115.36
With the nearest neighbours (Å) after each atom.
Element x y z (fractional)
1 Dy 0.5564 0.1129 0.0000  4 Ho 3.13-3.29
2 Ho 0.7504 0.5008 0.2163  4 Dy 3.29-3.48, 2 Ho 3.38-3.46, 4 La 3.54-3.68
3 Dy 0.1046 0.2092 0.2961  4 Ho 3.38-3.64, 2 Dy 3.61, 4 La 3.64-3.75
4 Ho 0.7504 0.5008 0.7837  4 Dy 3.29-3.48, 2 Ho 3.38-3.46, 4 La 3.54-3.68
5 La 0.2549 0.5097 0.0000  2 La 3.62, 5 Dy 3.64-3.75, 7 Ho 3.65-3.76
6 La 0.4070 0.8141 0.2927  5 Dy 3.39-3.75, 4 Ho 3.54-3.63, 1 La 3.62
7 Ho 0.9539 0.9079 0.0000  2 Dy 3.13, 2 Ho 3.38
8 La 0.4070 0.8141 0.7073  5 Dy 3.39-3.75, 4 Ho 3.54-3.63, 1 La 3.62
9 Dy 0.1046 0.2092 0.7039  4 Ho 3.38-3.64, 2 Dy 3.61, 4 La 3.64-3.75
10 Dy 0.6187 0.2374 0.5000  3 Ho 3.30-3.41, 2 La 3.39, 4 Dy 3.61
11 Ho 0.8905 0.7810 0.5000  3 Dy 3.30-3.38, 2 Ho 3.46, 4 La 3.63

2.
Below is a geometry-optimized La2Dy5Ho4 structure, with properties calculated at the PBE level.

- total DFT energy (no corrections) (eV per atom) = -4.50
- size of the total moment (μB per formula unit) = 0.00
- distance to the lowest polymorph of the same formula (kJ/mol of formula units) = 0
- D(E_F) (states/eV/f.u.) = 21.6
- ΔH_f (0 K) (eV/atom) = 0.151

Unit cell a=3.4415 b=8.7842 c=12.0919 alpha=96.85 beta=98.18 gamma=90.00
With the nearest neighbours (Å) after each atom.
Element x y z (fractional)
1 Dy 0.7656 0.1746 0.5312  1 La 3.38, 7 Dy 3.43-3.66, 3 Ho 3.54-3.65
2 Dy 0.2344 0.8254 0.4688  1 La 3.38, 7 Dy 3.43-3.66, 3 Ho 3.54-3.65
3 Ho 0.3215 0.5269 0.6430  6 Ho 3.44-3.81, 5 Dy 3.52-3.65, 2 La 3.76
4 La 0.9075 0.2536 0.8149  2 Ho 3.35-3.42, 4 Dy 3.38-3.74, 2 La 3.44
5 Ho 0.6785 0.4731 0.3570  6 Ho 3.44-3.81, 5 Dy 3.52-3.65, 2 La 3.76
6 Dy 0.8591 0.8742 0.7181  3 Ho 3.25-3.52, 1 La 3.39, 4 Dy 3.43-3.44
7 Dy 0.5000 0.0000 0.0000  6 Dy 3.44-3.83, 4 Ho 3.67, 4 La 3.74
8 La 0.0925 0.7464 0.1851  2 Ho 3.35-3.42, 4 Dy 3.38-3.74, 2 La 3.44
9 Ho 0.0464 0.3623 0.0928  1 Dy 3.25, 2 La 3.35-3.42, 5 Ho 3.44-3.63
10 Ho 0.9536 0.6377 0.9072  1 Dy 3.25, 2 La 3.35-3.42, 5 Ho 3.44-3.63
11 Dy 0.1409 0.1258 0.2819  3 Ho 3.25-3.52, 1 La 3.39, 4 Dy 3.43-3.44

3.
Below is a geometry-optimized La2DyHo8 structure, with properties calculated at the PBE level.

- total DFT energy (no corrections) (eV per atom) = -4.61
- size of the total moment (μB per formula unit) = 0.00
- D(E_F) (states/eV/f.u.) = 16.9
- ΔH_f (0 K) (eV/atom) = 0.031

Unit cell a=5.0542 b=7.9796 c=9.4401 alpha=104.71 beta=105.53 gamma=90.00
With the nearest neighbours (Å) after each atom.
Element x y z (fractional)
1 La 0.2271 0.6372 0.4542  10 Ho 3.56-3.63, 2 La 3.58
2 Ho 0.3196 0.0933 0.6392  1 Dy 3.55, 8 Ho 3.55-3.61, 3 La 3.56-3.58
3 Ho 0.5887 0.4527 0.1774  8 Ho 3.50-3.60, 1 Dy 3.55, 3 La 3.60-3.61
4 Ho 0.9565 0.2722 0.9131  9 Ho 3.52-3.58, 2 Dy 3.55, 1 La 3.60
5 Ho 0.0435 0.7278 0.0869  9 Ho 3.51-3.58, 2 Dy 3.55, 1 La 3.60
6 Ho 0.1343 0.1750 0.2686  7 Ho 3.51-3.60, 2 Dy 3.54, 3 La 3.61-3.63
7 La 0.7729 0.3628 0.5458  10 Ho 3.56-3.63, 2 La 3.58
8 Dy 0.5000 0.0000 0.0000  12 Ho 3.54-3.55
9 Ho 0.8657 0.8250 0.7314  7 Ho 3.52-3.60, 2 Dy 3.54, 3 La 3.61-3.63
10 Ho 0.4113 0.5473 0.8226  8 Ho 3.50-3.60, 1 Dy 3.55, 3 La 3.60-3.61
11 Ho 0.6804 0.9067 0.3608  1 Dy 3.55, 8 Ho 3.55-3.61, 3 La 3.56-3.58

4.
Below is a geometry-optimized La6DyHo5 structure, with properties calculated at the PBE level.

- total DFT energy (no corrections) (eV per atom) = -4.73
- size of the total moment (μB per formula unit) = 0.00
- distance to the lowest polymorph of the same formula (kJ/mol of formula units) = 4
- D(E_F) (states/eV/f.u.) = 18.4
- ΔH_f (0 K) (eV/atom) = 0.025

Unit cell a=6.1914 b=7.4062 c=9.6506 alpha=67.41 beta=87.33 gamma=89.97
With the nearest neighbours (Å) after each atom.
Element x y z (fractional)
1 La 0.1665 0.4165 0.6667  7 Ho 3.60-3.61, 1 Dy 3.61, 4 La 3.70
2 Ho 0.6664 0.1668 0.6665  8 La 3.60-3.61, 3 Ho 3.70, 1 Dy 3.70
3 La 0.5000 0.2498 0.0001  6 Ho 3.61, 2 Dy 3.61, 4 La 3.70-3.71
4 La 0.1665 0.9167 0.6666  7 Ho 3.61, 1 Dy 3.61, 4 La 3.70
5 Ho 0.6664 0.6666 0.6668  8 La 3.61, 4 Ho 3.70
6 Dy 0.0000 0.0000 0.0000  8 La 3.61, 4 Ho 3.70
7 La 0.8335 0.5835 0.3333  7 Ho 3.60-3.61, 1 Dy 3.61, 4 La 3.70
8 La 0.8335 0.0833 0.3334  7 Ho 3.61, 1 Dy 3.61, 4 La 3.70
9 Ho 0.0000 0.5000 0.0000  8 La 3.61, 2 Ho 3.70, 2 Dy 3.70
10 La 0.5000 0.7502 0.9999  6 Ho 3.61, 2 Dy 3.61, 4 La 3.70-3.71
11 Ho 0.3336 0.8332 0.3335  8 La 3.60-3.61, 3 Ho 3.70, 1 Dy 3.70
12 Ho 0.3336 0.3334 0.3332  8 La 3.61, 4 Ho 3.70

5.
Below is a geometry-optimized La5Dy2Ho structure, with properties calculated at the PBE level.

- total DFT energy (no corrections) (eV per atom) = -4.67
- size of the total moment (μB per formula unit) = 0.00
- distance to the lowest polymorph of the same formula (kJ/mol of formula units) = 11
- D(E_F) (states/eV/f.u.) = 12.4
- ΔH_f (0 K) (eV/atom) = 0.129

Unit cell a=5.7885 b=8.9943 c=11.5998 alpha=90.00 beta=90.00 gamma=108.74
With the nearest neighbours (Å) after each atom.
Element x y z (fractional)
1 Dy 0.2159 0.4318 0.9171  5 La 3.53-3.86, 3 Ho 3.60-3.87, 3 Dy 3.66-3.88
2 Dy 0.7841 0.5682 0.4171  5 La 3.53-3.86, 3 Ho 3.60-3.87, 3 Dy 3.66-3.88
3 La 0.6111 0.2222 0.2500  4 La 3.46-3.47, 2 Dy 3.53, 2 Ho 3.53
4 La 0.3889 0.7778 0.7500  4 La 3.46-3.47, 2 Dy 3.53, 2 Ho 3.53
5 La 0.9523 0.9045 0.6146  4 La 3.12-3.47, 1 Ho 3.48
6 La 0.5886 0.1777 0.9137  3 Dy 3.61-3.86, 1 Ho 3.62, 8 La 3.63-3.92
7 La 0.5887 0.1777 0.5863  3 Dy 3.61-3.86, 1 Ho 3.62, 8 La 3.63-3.92
8 La 0.4114 0.8223 0.0863  3 Dy 3.61-3.86, 1 Ho 3.62, 8 La 3.63-3.92
9 La 0.4113 0.8223 0.4137  3 Dy 3.61-3.86, 1 Ho 3.62, 8 La 3.63-3.92
10 Dy 0.2159 0.4318 0.5829  5 La 3.53-3.86, 3 Ho 3.60-3.87, 3 Dy 3.66-3.88
11 Dy 0.7841 0.5682 0.0829  5 La 3.53-3.86, 3 Ho 3.60-3.87, 3 Dy 3.66-3.88
12 Ho 0.7703 0.5402 0.7500  6 La 3.48-3.62, 6 Dy 3.60-3.87
13 La 0.0477 0.0955 0.3854  4 La 3.12-3.47, 1 Ho 3.48
14 Ho 0.2297 0.4598 0.2500  6 La 3.48-3.62, 6 Dy 3.60-3.87
15 La 0.9523 0.9045 0.8854  4 La 3.12-3.47, 1 Ho 3.48
16 La 0.0477 0.0955 0.1146  4 La 3.12-3.47, 1 Ho 3.48

6.
Below is a geometry-optimized La4DyHo10 structure, with properties calculated at the PBE level.

- total DFT energy (no corrections) (eV per atom) = -4.31
- size of the total moment (μB per formula unit) = 0.00
- D(E_F) (states/eV/f.u.) = 23.4
- ΔH_f (0 K) (eV/atom) = 0.364

Unit cell a=10.6605 b=8.7345 c=8.7345 alpha=68.14 beta=52.39 gamma=52.39
With the nearest neighbours (Å) after each atom.
Element x y z (fractional)
1 Ho 0.1303 0.0953 0.3224  5 Ho 3.20-3.43
2 Ho 0.5472 0.3224 0.9047  5 Ho 3.20-3.43
3 Ho 0.2257 0.3224 0.9047  5 Ho 3.20-3.43
4 Ho 0.7743 0.6776 0.0953  5 Ho 3.20-3.43
5 Ho 0.7500 0.5000 0.5000  4 La 3.18, 4 Ho 3.20
6 La 0.3352 0.7310 0.5986  2 Ho 3.18, 1 Dy 3.34, 1 La 3.48
7 Ho 0.5481 0.9047 0.6776  5 Ho 3.20-3.43
8 La 0.0662 0.5986 0.2690  2 Ho 3.18, 1 Dy 3.34, 1 La 3.48
9 Ho 0.8697 0.9047 0.6776  5 Ho 3.20-3.43
10 Ho 0.4528 0.6776 0.0953  5 Ho 3.20-3.43
11 La 0.6648 0.2690 0.4014  2 Ho 3.18, 1 Dy 3.34, 1 La 3.48
12 Ho 0.4519 0.0953 0.3224  5 Ho 3.20-3.43
13 La 0.9338 0.4014 0.7310  2 Ho 3.18, 1 Dy 3.34, 1 La 3.48
14 Ho 0.2500 0.5000 0.5000  4 La 3.18, 4 Ho 3.20
15 Dy 0.0000 0.0000 0.0000  4 La 3.34

7.
Below is a geometry-optimized La2Dy5Ho12 structure, with properties calculated at the PBE level.

- total DFT energy (no corrections) (eV per atom) = -4.48
- size of the total moment (μB per formula unit) = 0.00
- distance to the lowest polymorph of the same formula (kJ/mol of formula units) = 94
- D(E_F) (states/eV/f.u.) = 27.4
- ΔH_f (0 K) (eV/atom) = 0.139

Unit cell a=9.2219 b=12.3841 c=8.5123 alpha=132.44 beta=90.00 gamma=111.86
With the nearest neighbours (Å) after each atom.
Element x y z (fractional)
1 La 0.6886 0.0000 0.0000  8 Ho 3.39-3.62, 1 La 3.48, 2 Dy 3.57
2 Ho 0.4348 0.2515 0.6025  4 Dy 3.37-3.68, 6 Ho 3.40-3.67, 1 La 3.62
3 Ho 0.0227 0.6847 0.9309  5 Ho 3.33-3.67, 1 La 3.44, 5 Dy 3.46-3.72
4 Dy 0.2327 0.4654 0.8878  10 Ho 3.37-3.72, 2 Dy 3.68-3.72
5 Ho 0.3380 0.3153 0.0691  5 Ho 3.33-3.67, 1 La 3.44, 5 Dy 3.46-3.72
6 Ho 0.1833 0.7485 0.3975  4 Dy 3.37-3.68, 6 Ho 3.40-3.67, 1 La 3.62
7 Ho 0.5652 0.7485 0.3975  4 Dy 3.37-3.68, 6 Ho 3.40-3.67, 1 La 3.62
8 Dy 0.3027 0.6055 0.6128  8 Ho 3.39-3.68, 2 La 3.57, 1 Dy 3.68
9 Ho 0.9773 0.3153 0.0691  5 Ho 3.33-3.67, 1 La 3.44, 5 Dy 3.46-3.72
10 Ho 0.4420 0.8839 0.2112  2 Dy 3.39-3.53, 2 La 3.39, 7 Ho 3.40-3.50
11 Dy 0.0000 0.0000 0.5000  10 Ho 3.56-3.72, 2 Dy 3.72
12 Dy 0.6973 0.3945 0.3872  8 Ho 3.39-3.68, 2 La 3.57, 1 Dy 3.68
13 Ho 0.5580 0.1161 0.7888  2 Dy 3.39-3.53, 2 La 3.39, 7 Ho 3.40-3.50
14 Ho 0.9050 0.8100 0.6931  3 Dy 3.39-3.56, 2 La 3.40, 5 Ho 3.52-3.63
15 Ho 0.6620 0.6847 0.9309  5 Ho 3.33-3.67, 1 La 3.44, 5 Dy 3.46-3.72
16 La 0.3114 0.0000 0.0000  8 Ho 3.39-3.62, 1 La 3.48, 2 Dy 3.57
17 Dy 0.7673 0.5346 0.1122  10 Ho 3.37-3.72, 2 Dy 3.68-3.72
18 Ho 0.0950 0.1900 0.3069  3 Dy 3.39-3.56, 2 La 3.40, 5 Ho 3.52-3.63
19 Ho 0.8167 0.2515 0.6025  4 Dy 3.37-3.68, 6 Ho 3.40-3.67, 1 La 3.62

8.
Below is a geometry-optimized La3Dy3Ho structure, with properties calculated at the PBE level.

- total DFT energy (no corrections) (eV per atom) = -4.60
- size of the total moment (μB per formula unit) = 0.00
- D(E_F) (states/eV/f.u.) = 10.0
- ΔH_f (0 K) (eV/atom) = 0.133

Unit cell a=9.4645 b=9.4645 c=8.3081 alpha=55.28 beta=55.28 gamma=60.00
With the nearest neighbours (Å) after each atom.
Element x y z (fractional)
1 La 0.2699 0.1293 0.7668  5 Dy 3.44-3.64, 1 Ho 3.53, 4 La 3.60-3.65
2 La 0.1293 0.8340 0.7668  5 Dy 3.44-3.64, 1 Ho 3.53, 4 La 3.60-3.65
3 Dy 0.3116 0.0255 0.2179  3 Dy 3.41-3.51, 5 La 3.44-3.64, 2 Ho 3.44-3.59
4 La 0.7301 0.8707 0.2332  5 Dy 3.44-3.64, 1 Ho 3.53, 4 La 3.60-3.65
5 Ho 0.4087 0.4087 0.7740  1 Ho 3.43, 6 Dy 3.44-3.59, 3 La 3.53
6 Dy 0.6884 0.9745 0.7821  3 Dy 3.41-3.51, 5 La 3.44-3.64, 2 Ho 3.44-3.59
7 La 0.8340 0.2699 0.7668  5 Dy 3.44-3.64, 1 Ho 3.53, 4 La 3.60-3.65
8 La 0.1660 0.7301 0.2332  5 Dy 3.44-3.64, 1 Ho 3.53, 4 La 3.60-3.65
9 Dy 0.9745 0.5550 0.7821  3 Dy 3.41-3.51, 5 La 3.44-3.64, 2 Ho 3.44-3.59
10 Dy 0.0255 0.4450 0.2179  3 Dy 3.41-3.51, 5 La 3.44-3.64, 2 Ho 3.44-3.59
11 Ho 0.5913 0.5913 0.2260  1 Ho 3.43, 6 Dy 3.44-3.59, 3 La 3.53
12 Dy 0.4450 0.3116 0.2179  3 Dy 3.41-3.51, 5 La 3.44-3.64, 2 Ho 3.44-3.59
13 La 0.8707 0.1660 0.2332  5 Dy 3.44-3.64, 1 Ho 3.53, 4 La 3.60-3.65
14 Dy 0.5550 0.6884 0.7821  3 Dy 3.41-3.51, 5 La 3.44-3.64, 2 Ho 3.44-3.59